Entry 1:
VASP calculation (PBE-GGA) on a relaxed structure of SiAs2BrN.

Lattice parameters (Å, degrees): 4.861 4.861 5.222 90.00 90.00 90.00
Positions (direct):
Si1 0.000 0.000 0.000
As1 0.000 0.500 0.000
As2 0.500 0.000 0.000
Br1 0.000 0.000 0.500
N1 0.500 0.500 0.500

Results
calculated density = 3.66 g/cm³
distance to the lowest polymorph of the same formula = 433 meV/atom
uncorrected formation energy = 1516 meV per atom
N(E_F) = 3.46 states/eV/cell

Entry 2:
VASP calculation (PBE-GGA) on a relaxed structure of Ac12Tb7Dy.

Lattice parameters (Å, degrees): 12.160 12.160 12.160 116.78 116.78 116.78
Positions (direct):
Ac1 0.000 0.413 0.587
Ac2 0.000 0.587 0.413
Ac3 0.067 0.067 0.411
Ac4 0.067 0.411 0.067
Ac5 0.411 0.067 0.067
Ac6 0.413 0.000 0.587
Ac7 0.413 0.587 0.000
Ac8 0.587 0.000 0.413
Ac9 0.587 0.413 0.000
Ac10 0.589 0.933 0.933
Ac11 0.933 0.589 0.933
Ac12 0.933 0.933 0.589
Tb1 0.000 0.000 0.000
Tb2 0.155 0.395 0.395
Tb3 0.395 0.155 0.395
Tb4 0.395 0.395 0.155
Tb5 0.605 0.605 0.845
Tb6 0.605 0.845 0.605
Tb7 0.845 0.605 0.605
Dy1 0.500 0.500 0.500

Results
calculated density = 8.10 g/cm³
energy of formation = 0.21 eV/atom
N(E_F) = 30.33 states/eV/cell

Entry 3:
VASP calculation (PBE-GGA) on a relaxed structure of SrMoOs2.

Lattice parameters (Å, degrees): 6.073 6.073 6.073 104.08 104.08 120.90
Positions (direct):
Sr1 0.000 0.000 0.000
Sr2 0.750 0.250 0.500
Mo1 0.250 0.750 0.500
Mo2 0.500 0.500 0.000
Os1 0.184 0.625 0.059
Os2 0.375 0.434 0.559
Os3 0.566 0.125 0.941
Os4 0.875 0.816 0.441

Results
calculated density = 11.20 g/cm³
energy of formation = 1.02 eV/atom
distance to the lowest polymorph of the same formula = 513 meV/atom
N(E_F) = 5.08 states/eV/cell

Entry 4:
VASP calculation (PBE-GGA) on a relaxed structure of BiSb3Pb.

Lattice parameters (Å, degrees): 5.814 5.814 5.814 90.00 90.00 90.00
Positions (direct):
Bi1 0.000 0.000 0.000
Sb1 0.000 0.000 0.500
Sb2 0.000 0.500 0.000
Sb3 0.500 0.000 0.000
Pb1 0.500 0.500 0.500

Results
calculated density = 6.60 g/cm³
distance to the lowest polymorph of the same formula = 0 meV/atom
uncorrected formation energy = 783 meV per atom
N(E_F) = 7.28 states/eV/cell

Entry 5:
VASP calculation (PBE-GGA) on a relaxed structure of CaHfTi2.

Lattice parameters (Å, degrees): 10.545 10.545 10.545 156.63 156.63 33.29
Positions (direct):
Ca1 0.000 0.000 0.000
Ca2 0.750 0.250 0.500
Hf1 0.250 0.750 0.500
Hf2 0.500 0.500 0.000
Ti1 0.155 0.125 0.530
Ti2 0.375 0.845 0.970
Ti3 0.595 0.625 0.470
Ti4 0.875 0.405 0.030

Results
calculated density = 5.66 g/cm³
energy of formation = 0.89 eV/atom
distance to the lowest polymorph of the same formula = 352 meV/atom
N(E_F) = 9.36 states/eV/cell

Entry 6:
VASP calculation (PBE-GGA) on a relaxed structure of CoGe.

Lattice parameters (Å, degrees): 5.675 5.675 4.419 109.21 109.21 75.68
Positions (direct):
Co1 0.000 0.000 0.000
Co2 0.000 0.000 0.500
Co3 0.000 0.500 0.000
Co4 0.500 0.000 0.000
Ge1 0.267 0.267 0.440
Ge2 0.323 0.677 0.000
Ge3 0.677 0.323 0.000
Ge4 0.733 0.733 0.560

Results
calculated density = 6.97 g/cm³
energy of formation = 0.43 eV/atom
N(E_F) = 9.56 states/eV/cell

Entry 7:
VASP calculation (PBE-GGA) on a relaxed structure of ZnFeNi2.

Lattice parameters (Å, degrees): 4.321 4.321 2.605 90.00 90.00 104.63
Positions (direct):
Zn1 0.000 0.000 0.000
Fe1 0.500 0.500 0.000
Ni1 0.000 0.500 0.500
Ni2 0.500 0.000 0.500

Results
calculated density = 8.42 g/cm³
energy of formation = -0.09 eV/atom
N(E_F) = 3.11 states/eV/cell

Entry 8:
VASP calculation (PBE-GGA) on a relaxed structure of CsInHg2Sb.

Lattice parameters (Å, degrees): 7.324 7.324 7.324 139.85 137.08 60.22
Positions (direct):
Cs1 0.000 0.000 0.000
In1 0.241 0.741 0.500
Hg1 0.616 0.616 0.000
Hg2 0.747 0.247 0.500
Sb1 0.379 0.379 0.000

Results
calculated density = 7.50 g/cm³
distance to the lowest polymorph of the same formula = 0 meV/atom
uncorrected formation energy = -222 meV per atom
N(E_F) = 0.97 states/eV/cell

Entry 9:
VASP calculation (PBE-GGA) on a relaxed structure of Nd5TmGa6.

Lattice parameters (Å, degrees): 8.209 8.209 7.330 90.00 90.00 143.19
Positions (direct):
Nd1 0.000 0.000 0.000
Nd2 0.330 0.670 0.000
Nd3 0.334 0.666 0.500
Nd4 0.666 0.334 0.500
Nd5 0.670 0.330 0.000
Tm1 0.000 0.000 0.500
Ga1 0.162 0.838 0.257
Ga2 0.162 0.838 0.743
Ga3 0.500 0.500 0.255
Ga4 0.500 0.500 0.745
Ga5 0.838 0.162 0.257
Ga6 0.838 0.162 0.743

Results
calculated density = 7.34 g/cm³
energy of formation = -0.56 eV/atom
N(E_F) = 5.17 states/eV/cell

Entry 10:
VASP calculation (PBE-GGA) on a relaxed structure of La8PmEr2.

Lattice parameters (Å, degrees): 9.619 9.619 6.104 105.77 105.77 122.36
Positions (direct):
La1 0.096 0.337 0.685
La2 0.206 0.794 0.000
La3 0.337 0.096 0.685
La4 0.421 0.421 0.202
La5 0.579 0.579 0.798
La6 0.663 0.904 0.315
La7 0.794 0.206 0.000
La8 0.904 0.663 0.315
Pm1 0.000 0.000 0.000
Er1 0.311 0.689 0.500
Er2 0.689 0.311 0.500

Results
calculated density = 6.70 g/cm³
energy of formation = 0.12 eV/atom
distance to the lowest polymorph of the same formula = 52 meV/atom
N(E_F) = 16.44 states/eV/cell

Entry 11:
VASP calculation (PBE-GGA) on a relaxed structure of NdDy3Pt.

Lattice parameters (Å, degrees): 5.492 5.492 5.492 90.00 90.00 90.00
Positions (direct):
Nd1 0.000 0.000 0.000
Dy1 0.000 0.500 0.500
Dy2 0.500 0.000 0.500
Dy3 0.500 0.500 0.000
Pt1 0.500 0.500 0.500

Results
calculated density = 8.29 g/cm³
energy of formation = -0.37 eV/atom
distance to the lowest polymorph of the same formula = 49 meV/atom
N(E_F) = 8.13 states/eV/cell

Entry 12:
VASP calculation (PBE-GGA) on a relaxed structure of Ca3PIr.

Lattice parameters (Å, degrees): 5.301 5.301 5.301 90.00 90.00 90.00
Positions (direct):
Ca1 0.000 0.000 0.500
Ca2 0.000 0.500 0.000
Ca3 0.500 0.000 0.000
P1 0.500 0.500 0.500
Ir1 0.000 0.000 0.000

Results
calculated density = 3.83 g/cm³
energy of formation = -0.19 eV/atom
distance to the lowest polymorph of the same formula = 0 meV/atom
N(E_F) = 0.06 states/eV/cell

Entry 13:
VASP calculation (PBE-GGA) on a relaxed structure of Er4Ru2Pt.

Lattice parameters (Å, degrees): 8.261 8.261 8.261 33.68 33.68 33.68
Positions (direct):
Er1 0.122 0.122 0.122
Er2 0.373 0.373 0.373
Er3 0.627 0.627 0.627
Er4 0.878 0.878 0.878
Ru1 0.248 0.248 0.248
Ru2 0.752 0.752 0.752
Pt1 0.500 0.500 0.500

Results
calculated density = 11.46 g/cm³
energy of formation = -0.62 eV/atom
distance to the lowest polymorph of the same formula = 0 meV/atom
N(E_F) = 3.43 states/eV/cell